{"formula": "Mg12Sn5Pb2", "functional": "PBE", "state": "relaxed", "dft_energy_ev_per_atom": -2.473, "spacegroup": "No. 12", "delta_e_f_ev_per_atom": -0.0218, "dos_ef_per_ev_atom": 0.354, "lattice": [[8.443, -3.199, 0.000], [8.443, 3.199, 0.000], [-2.954, 0.000, 9.417]], "species": ["Mg", "Mg", "Mg", "Mg", "Mg", "Mg", "Mg", "Mg", "Mg", "Mg", "Mg", "Mg", "Sn", "Sn", "Sn", "Sn", "Sn", "Pb", "Pb"], "frac_coords": [[0.012, 0.012, 0.349], [0.066, 0.553, 0.896], [0.091, 0.583, 0.428], [0.408, 0.408, 0.190], [0.417, 0.909, 0.572], [0.447, 0.934, 0.104], [0.553, 0.066, 0.896], [0.583, 0.091, 0.428], [0.592, 0.592, 0.810], [0.909, 0.417, 0.572], [0.934, 0.447, 0.104], [0.988, 0.988, 0.651], [0.154, 0.154, 0.834], [0.182, 0.182, 0.337], [0.500, 0.500, 0.500], [0.818, 0.818, 0.663], [0.846, 0.846, 0.166], [0.253, 0.747, 0.000], [0.747, 0.253, 0.000]]}